{"formula": "VAuS2N", "functional": "PBE", "state": "relaxed", "lattice": [[4.749, 0.000, 0.000], [0.000, 4.749, 0.000], [0.000, 0.000, 3.613]], "species": ["V", "Au", "S", "S", "N"], "fractional_positions": [[0.000, 0.000, 0.000], [0.500, 0.500, 0.500], [0.000, 0.500, 0.000], [0.500, 0.000, 0.000], [0.000, 0.000, 0.500]], "magmom_total_mub_per_cell": 0.28, "relative_energy_ev_per_atom": 0.000, "final_energy_ev_per_atom": -5.522}